1.
Below is NiPPb4 after structural relaxation, with properties calculated at the GGA-PBE level.

Cell and atoms, written as CIF:
```
data_NiPPb4
_chemical_formula_sum 'Ni4 P4 Pb16'
_symmetry_space_group_name_H-M 'F -4 3 m'
_symmetry_Int_Tables_number 216
_symmetry_space_group_name_Hall 'F -4 2 3'
_cell_length_a 8.881
_cell_length_b 8.881
_cell_length_c 8.881
_cell_angle_alpha 90.00
_cell_angle_beta 90.00
_cell_angle_gamma 90.00
loop_
_atom_site_label
_atom_site_type_symbol
_atom_site_fract_x
_atom_site_fract_y
_atom_site_fract_z
_atom_site_occupancy
Ni1 Ni 0.000 0.000 0.000 1
P1 P 0.250 0.250 0.750 1
Pb1 Pb 0.125 0.125 0.375 1
```

2.
Below is NiPPb2 after structural relaxation, with properties calculated at the GGA-PBE level.

Cell and atoms, written as CIF:
```
data_NiPPb2
_chemical_formula_sum 'Ni2 P2 Pb4'
_symmetry_space_group_name_H-M 'C 1 m 1'
_symmetry_Int_Tables_number 8
_cell_length_a 7.858
_cell_length_b 3.996
_cell_length_c 6.987
_cell_angle_alpha 90.00
_cell_angle_beta 113.83
_cell_angle_gamma 90.00
loop_
_symmetry_equiv_pos_as_xyz
'x,y,z'
'x,-y,z'
'x+1/2,y+1/2,z'
'x+1/2,-y+1/2,z'
loop_
_atom_site_label
_atom_site_type_symbol
_atom_site_fract_x
_atom_site_fract_y
_atom_site_fract_z
_atom_site_occupancy
Ni1 Ni 0.000 0.000 0.000 1
P1 P 0.438 0.000 0.879 1
Pb1 Pb 0.156 0.500 0.643 1
Pb2 Pb 0.284 0.500 0.219 1
```

3.
Below is Ni2PPb after structural relaxation, with properties calculated at the GGA-PBE level.

Cell and atoms, written as CIF:
```
data_Ni2PPb
_chemical_formula_sum 'Ni4 P2 Pb2'
_symmetry_space_group_name_H-M 'I m m 2'
_symmetry_Int_Tables_number 44
_cell_length_a 3.195
_cell_length_b 3.214
_cell_length_c 12.772
_cell_angle_alpha 90.00
_cell_angle_beta 90.00
_cell_angle_gamma 90.00
loop_
_symmetry_equiv_pos_as_xyz
'x,y,z'
'-x,-y,z'
'-x,y,z'
'x,-y,z'
'x+1/2,y+1/2,z+1/2'
'-x+1/2,-y+1/2,z+1/2'
'-x+1/2,y+1/2,z+1/2'
'x+1/2,-y+1/2,z+1/2'
loop_
_atom_site_label
_atom_site_type_symbol
_atom_site_fract_x
_atom_site_fract_y
_atom_site_fract_z
_atom_site_occupancy
Ni1 Ni 0.000 0.000 0.000 1
Ni2 Ni 0.000 0.500 0.338 1
P1 P 0.000 0.000 0.456 1
Pb1 Pb 0.000 0.500 0.699 1
```

4.
Below is Ni2PPb after structural relaxation, with properties calculated at the GGA-PBE level.

Cell and atoms, written as CIF:
```
data_Ni2PPb
_chemical_formula_sum 'Ni2 P1 Pb1'
_symmetry_space_group_name_H-M 'P 1 2/m 1'
_symmetry_Int_Tables_number 10
_cell_length_a 3.100
_cell_length_b 3.472
_cell_length_c 6.347
_cell_angle_alpha 90.00
_cell_angle_beta 100.01
_cell_angle_gamma 90.00
loop_
_symmetry_equiv_pos_as_xyz
'x,y,z'
'-x,-y,-z'
'-x,y,-z'
'x,-y,z'
loop_
_atom_site_label
_atom_site_type_symbol
_atom_site_fract_x
_atom_site_fract_y
_atom_site_fract_z
_atom_site_occupancy
Ni1 Ni 0.189 0.000 0.333 1
P1 P 0.000 0.500 0.500 1
Pb1 Pb 0.500 0.500 0.000 1
```

5.
Below is Ni2PPb after structural relaxation, with properties calculated at the GGA-PBE level.

Cell and atoms, written as CIF:
```
data_Ni2PPb
_chemical_formula_sum 'Ni6 P3 Pb3'
_symmetry_space_group_name_H-M 'R 3 m'
_symmetry_Int_Tables_number 160
_symmetry_space_group_name_Hall 'R 3 -2"'
_cell_length_a 3.7636
_cell_length_b 3.7636
_cell_length_c 17.0950
_cell_angle_alpha 90.00
_cell_angle_beta 90.00
_cell_angle_gamma 120.00
loop_
_atom_site_label
_atom_site_type_symbol
_atom_site_fract_x
_atom_site_fract_y
_atom_site_fract_z
_atom_site_occupancy
Ni1 Ni 0.0000 0.0000 0.0000 1
Ni2 Ni 0.0000 0.0000 0.2634 1
P1 P 0.0000 0.0000 0.6350 1
Pb1 Pb 0.0000 0.0000 0.4553 1
```

6.
Below is NiP2Pb2 after structural relaxation, with properties calculated at the GGA-PBE level.

Cell and atoms, written as CIF:
```
data_NiP2Pb2
_chemical_formula_sum 'Ni2 P4 Pb4'
_symmetry_space_group_name_H-M 'P 4/m b m'
_symmetry_Int_Tables_number 127
_symmetry_space_group_name_Hall '-P 4 2ab'
_cell_length_a 6.054
_cell_length_b 6.054
_cell_length_c 5.616
_cell_angle_alpha 90.00
_cell_angle_beta 90.00
_cell_angle_gamma 90.00
loop_
_atom_site_label
_atom_site_type_symbol
_atom_site_fract_x
_atom_site_fract_y
_atom_site_fract_z
_atom_site_occupancy
Ni1 Ni 0.000 0.000 0.000 1
P1 P 0.134 0.366 0.000 1
Pb1 Pb 0.204 0.704 0.500 1
```

7.
Below is NiP2Pb after structural relaxation, with properties calculated at the GGA-PBE level.

Cell and atoms, written as CIF:
```
data_NiP2Pb
_chemical_formula_sum 'Ni2 P4 Pb2'
_symmetry_space_group_name_H-M 'I -4 m 2'
_symmetry_Int_Tables_number 119
_symmetry_space_group_name_Hall 'I -4 -2'
_cell_length_a 4.292
_cell_length_b 4.292
_cell_length_c 7.659
_cell_angle_alpha 90.00
_cell_angle_beta 90.00
_cell_angle_gamma 90.00
loop_
_atom_site_label
_atom_site_type_symbol
_atom_site_fract_x
_atom_site_fract_y
_atom_site_fract_z
_atom_site_occupancy
Ni1 Ni 0.000 0.000 0.000 1
P1 P 0.000 0.000 0.500 1
P2 P 0.000 0.500 0.750 1
Pb1 Pb 0.000 0.500 0.250 1
```

8.
Below is NiP2Pb after structural relaxation, with properties calculated at the GGA-PBE level.

Cell and atoms, written as CIF:
```
data_NiP2Pb
_chemical_formula_sum 'Ni2 P4 Pb2'
_symmetry_space_group_name_H-M 'I m m 2'
_symmetry_Int_Tables_number 44
_cell_length_a 3.296
_cell_length_b 5.795
_cell_length_c 8.108
_cell_angle_alpha 90.00
_cell_angle_beta 90.00
_cell_angle_gamma 90.00
loop_
_symmetry_equiv_pos_as_xyz
'x,y,z'
'-x,-y,z'
'-x,y,z'
'x,-y,z'
'x+1/2,y+1/2,z+1/2'
'-x+1/2,-y+1/2,z+1/2'
'-x+1/2,y+1/2,z+1/2'
'x+1/2,-y+1/2,z+1/2'
loop_
_atom_site_label
_atom_site_type_symbol
_atom_site_fract_x
_atom_site_fract_y
_atom_site_fract_z
_atom_site_occupancy
Ni1 Ni 0.000 0.000 0.000 1
P1 P 0.000 0.000 0.366 1
P2 P 0.000 0.500 0.677 1
Pb1 Pb 0.000 0.500 0.205 1
```

| no. | magnetization (μB per formula unit) | ΔH_f (0 K) (eV/atom) |
| --- | --- | --- |
| 1 | 0.0 | 0.898 |
| 2 | 0.0 | 0.014 |
| 3 | 0.0 | -0.089 |
| 4 | 0.0 | 0.061 |
| 5 | 0.0 | -0.180 |
| 6 | 0.0 | 0.072 |
| 7 | 0.0 | 0.646 |
| 8 | 0.0 | 0.342 |